1.
Below is a PBEsol-optimized structure of BeTeRu3, with properties calculated at the SCAN level.

Values from the calculation:
Crystal system: cubic
Raw formation energy: 0.415 eV/atom
Space group: No. 221
Calculated total energy: -144.01 eV per cell
Polymorph energy (0 for the lowest one): 0.000 eV per atom
Size of the total moment: 0.00 μB per cell

Lattice parameters (Å, degrees): 4.1216 4.1216 4.1216 90.00 90.00 90.00
Last column: nearest neighbours and their distance in Å.
Element x y z (fractional)
Ru 0.0000 0.5000 0.0000  2 Be 2.06
Ru 0.0000 0.0000 0.5000  2 Be 2.06
Ru 0.5000 0.0000 0.0000  2 Be 2.06
Te 0.5000 0.5000 0.5000  12 Ru 2.91
Be 0.0000 0.0000 0.0000  6 Ru 2.06

***

2.
Below is a PBEsol-optimized structure of BeTe2Ru, with properties calculated at the SCAN level.

Values from the calculation:
Crystal system: trigonal
Raw formation energy: 0.647 eV/atom
Space group: No. 166
Calculated total energy: -111.09 eV per cell
Size of the total moment: 0.00 μB per cell

Lattice parameters (Å, degrees): 3.3311 3.3311 8.4409 78.62 78.62 60.00
Last column: nearest neighbours and their distance in Å.
Element x y z (fractional)
Ru 0.0000 0.0000 0.0000  2 Te 2.50
Te 0.8987 0.8987 0.3040  1 Ru 2.50, 3 Be 2.51
Te 0.1013 0.1013 0.6960  1 Ru 2.50, 3 Be 2.51
Be 0.5000 0.5000 0.5000  6 Te 2.51

***

3.
Below is a PBEsol-optimized structure of BeTeRu4, with properties calculated at the SCAN level.

Values from the calculation:
Crystal system: cubic
Raw formation energy: 0.747 eV/atom
Space group: No. 216
Calculated total energy: -176.43 eV per cell
Size of the total moment: 2.81 μB per cell

Lattice parameters (Å, degrees): 5.0745 5.0745 5.0745 60.00 60.00 60.00
Last column: nearest neighbours and their distance in Å.
Element x y z (fractional)
Be 0.0000 0.0000 0.0000  12 Ru 2.98, 4 Te 3.11
Ru 0.6251 0.6251 0.1247  6 Ru 2.54
Ru 0.1247 0.6251 0.6251  6 Ru 2.54
Ru 0.6251 0.1247 0.6251  6 Ru 2.54
Ru 0.6251 0.6251 0.6251  6 Ru 2.54
Te 0.2500 0.2500 0.2500  12 Ru 2.98, 4 Be 3.11

***

4.
Below is a PBEsol-optimized structure of Ti2Be2Ru, with properties calculated at the SCAN level.

Values from the calculation:
Crystal system: tetragonal
Calculated formation energy: -405 meV/atom
Space group: No. 127
Calculated total energy: -155.24 eV per cell
Size of the total moment: 0.00 μB per cell

Lattice parameters (Å, degrees): 3.1734 6.1845 6.1845 90.00 90.00 90.00
Last column: nearest neighbours and their distance in Å.
Element x y z (fractional)
Ru 0.0000 0.0000 0.0000  4 Be 2.47
Ru 0.0000 0.5000 0.5000  4 Be 2.47
Be 0.0000 0.3811 0.8811  1 Be 2.08
Be 0.0000 0.8811 0.6189  1 Be 2.08
Be 0.0000 0.6189 0.1189  1 Be 2.08
Be 0.0000 0.1189 0.3811  1 Be 2.08
Ti 0.5000 0.1794 0.6794  6 Be 2.37-2.46
Ti 0.5000 0.6794 0.8206  6 Be 2.37-2.46
Ti 0.5000 0.8206 0.3206  6 Be 2.37-2.46
Ti 0.5000 0.3206 0.1794  6 Be 2.37-2.46

***

5.
Below is a PBEsol-optimized structure of BeTl3Ru, with properties calculated at the SCAN level.

Values from the calculation:
Crystal system: cubic
Calculated formation energy: 979 meV/atom
Space group: No. 221
Calculated total energy: -251.36 eV per cell
Size of the total moment: 2.30 μB per cell

Lattice parameters (Å, degrees): 4.7692 4.7692 4.7692 90.00 90.00 90.00
Last column: nearest neighbours and their distance in Å.
Element x y z (fractional)
Ru 0.5000 0.5000 0.5000  12 Tl 3.37
Tl 0.0000 0.5000 0.0000  2 Be 2.38
Tl 0.0000 0.0000 0.5000  2 Be 2.38
Tl 0.5000 0.0000 0.0000  2 Be 2.38
Be 0.0000 0.0000 0.0000  6 Tl 2.38

***

6.
Below is a PBEsol-optimized structure of Be4TlRu, with properties calculated at the SCAN level.

Values from the calculation:
Crystal system: cubic
Calculated formation energy: 62 meV/atom
Space group: No. 216
Calculated total energy: -124.23 eV per cell
Size of the total moment: 0.00 μB per cell

Lattice parameters (Å, degrees): 4.5076 4.5076 4.5076 60.00 60.00 60.00
Last column: nearest neighbours and their distance in Å.
Element x y z (fractional)
Ru 0.7500 0.7500 0.7500  12 Be 2.64, 4 Tl 2.76
Tl 0.0000 0.0000 0.0000  12 Be 2.65, 4 Ru 2.76
Be 0.3770 0.3770 0.3770  6 Be 2.22-2.29
Be 0.3770 0.3770 0.8690  6 Be 2.22-2.29
Be 0.8690 0.3770 0.3770  6 Be 2.22-2.29
Be 0.3770 0.8690 0.3770  6 Be 2.22-2.29

***

7.
Below is a PBEsol-optimized structure of BeTl2Ru, with properties calculated at the SCAN level.

Values from the calculation:
Crystal system: monoclinic
Calculated formation energy: 434 meV/atom
Space group: No. 8
Calculated total energy: -182.16 eV per cell
Size of the total moment: 0.00 μB per cell

Lattice parameters (Å, degrees): 3.1420 4.4904 5.6709 109.25 106.08 90.00
Last column: nearest neighbours and their distance in Å.
Element x y z (fractional)
Ru 0.2104 0.7277 0.4207  2 Be 2.23
Tl 0.9762 0.9621 0.9523  4 Be 2.82-2.92, 3 Ru 3.08-3.14, 3 Tl 3.14-3.15
Tl 0.7553 0.2658 0.5106  4 Ru 2.78, 1 Be 2.83
Be 0.5582 0.5444 0.1163  2 Ru 2.23

***

8.
Below is a PBEsol-optimized structure of Be2Ru2W, with properties calculated at the SCAN level.

Values from the calculation:
Crystal system: tetragonal
Calculated formation energy: -306 meV/atom
Space group: No. 127
Calculated total energy: -299.16 eV per cell
Size of the total moment: 0.00 μB per cell

Lattice parameters (Å, degrees): 2.8561 6.3150 6.3150 90.00 90.00 90.00
Last column: nearest neighbours and their distance in Å.
Element x y z (fractional)
Ru 0.5000 0.1694 0.6694  6 Be 2.34-2.35
Ru 0.5000 0.6694 0.8306  6 Be 2.34-2.35
Ru 0.5000 0.8306 0.3306  6 Be 2.34-2.35
Ru 0.5000 0.3306 0.1694  6 Be 2.34-2.35
W 0.0000 0.0000 0.0000  4 Be 2.51, 8 Ru 2.75
W 0.0000 0.5000 0.5000  4 Be 2.51, 8 Ru 2.75
Be 0.0000 0.3774 0.8774  1 Be 2.19, 6 Ru 2.34-2.35
Be 0.0000 0.8774 0.6226  1 Be 2.19, 6 Ru 2.34-2.35
Be 0.0000 0.6226 0.1226  1 Be 2.19, 6 Ru 2.34-2.35
Be 0.0000 0.1226 0.3774  1 Be 2.19, 6 Ru 2.34-2.35

***

9.
Below is a PBEsol-optimized structure of BeRu2W, with properties calculated at the SCAN level.

Values from the calculation:
Crystal system: trigonal
Calculated formation energy: 188 meV/atom
Space group: No. 160
Calculated total energy: -142.94 eV per cell
Polymorph energy (0 for the lowest one): 0.531 eV per atom
Size of the total moment: 0.00 μB per cell

Lattice parameters (Å, degrees): 2.7011 2.7011 8.4352 80.79 80.79 60.00
Last column: nearest neighbours and their distance in Å.
Element x y z (fractional)
Ru 0.9945 0.9945 0.0165  3 Be 2.40, 3 Ru 2.67
Ru 0.7482 0.7482 0.7555  9 Ru 2.67-2.70, 3 W 2.69
W 0.5031 0.5031 0.4908  3 Be 2.62, 3 Ru 2.69, 6 W 2.70
Be 0.2543 0.2543 0.2372  3 Ru 2.40, 3 W 2.62

***

10.
Below is a PBEsol-optimized structure of Be4RuW, with properties calculated at the SCAN level.

Values from the calculation:
Crystal system: cubic
Calculated formation energy: -343 meV/atom
Space group: No. 216
Calculated total energy: -123.99 eV per cell
Size of the total moment: 0.02 μB per cell

Lattice parameters (Å, degrees): 4.3539 4.3539 4.3539 60.00 60.00 60.00
Last column: nearest neighbours and their distance in Å.
Element x y z (fractional)
Ru 0.2500 0.2500 0.2500  12 Be 2.56, 4 W 2.67
W 0.0000 0.0000 0.0000  12 Be 2.55, 4 Ru 2.67
Be 0.6267 0.6267 0.1199  6 Be 2.15-2.21
Be 0.1199 0.6267 0.6267  6 Be 2.15-2.21
Be 0.6267 0.1199 0.6267  6 Be 2.15-2.21
Be 0.6267 0.6267 0.6267  6 Be 2.15-2.21

***

11.
Below is a PBEsol-optimized structure of BeRu2W, with properties calculated at the SCAN level.

Values from the calculation:
Crystal system: cubic
Calculated formation energy: -342 meV/atom
Space group: No. 225
Calculated total energy: -145.06 eV per cell
Polymorph energy (0 for the lowest one): 0.000 eV per atom
Size of the total moment: 0.00 μB per cell

Lattice parameters (Å, degrees): 4.1856 4.1856 4.1856 60.00 60.00 60.00
Last column: nearest neighbours and their distance in Å.
Element x y z (fractional)
Ru 0.2500 0.2500 0.2500  4 W 2.56, 4 Be 2.56
Ru 0.7500 0.7500 0.7500  4 W 2.56, 4 Be 2.56
W 0.5000 0.5000 0.5000  8 Ru 2.56
Be 0.0000 0.0000 0.0000  8 Ru 2.56

***

12.
Below is a PBEsol-optimized structure of BeRu2W, with properties calculated at the SCAN level.

Values from the calculation:
Crystal system: tetragonal
Calculated formation energy: -275 meV/atom
Space group: No. 123
Calculated total energy: -144.79 eV per cell
Polymorph energy (0 for the lowest one): 0.068 eV per atom
Size of the total moment: 0.00 μB per cell

Lattice parameters (Å, degrees): 2.9599 2.9599 5.8054 90.00 90.00 90.00
Last column: nearest neighbours and their distance in Å.
Element x y z (fractional)
Ru 0.0000 0.0000 0.7273  4 Be 2.47, 4 W 2.62, 1 Ru 2.64
Ru 0.0000 0.0000 0.2727  4 Be 2.47, 4 W 2.62, 1 Ru 2.64
W 0.5000 0.5000 0.0000  8 Ru 2.62, 2 Be 2.90
Be 0.5000 0.5000 0.5000  8 Ru 2.47